# Tm4TlTc PBE-GGA optimized geometry
data_Tm4TlTc
_chemical_formula_sum 'Tm16 Tl4 Tc4'
_symmetry_space_group_name_H-M 'C 1 2/c 1'
_symmetry_Int_Tables_number 15
_symmetry_space_group_name_Hall '-C 2yc'
_cell_length_a 8.6387
_cell_length_b 12.7670
_cell_length_c 6.1684
_cell_angle_alpha 90.00
_cell_angle_beta 107.01
_cell_angle_gamma 90.00
loop_
_atom_site_label
_atom_site_fract_x
_atom_site_fract_y
_atom_site_fract_z
Tm1 0.1065 0.1686 0.0471
Tm2 0.2251 0.4221 0.3924
Tl1 0.0000 0.3746 0.7500
Tc1 0.0000 0.0006 0.2500
# N(E_F) in states/eV per atom: 0.92
# Total DFT energy (no corrections) in hartree per atom: -0.1963